No. 1
{
  "formula": "AlAg3P",
  "functional": "PBE",
  "state": "relaxed",
  "cell": [[4.8140, 0.0000, 0.0000], [0.0000, 4.8140, 0.0000], [0.0000, 0.0000, 4.8140]],
  "species": ["Al", "Ag", "Ag", "Ag", "P"],
  "frac_coords": [[0.0000, 0.0000, 0.0000], [0.0000, 0.0000, 0.5000], [0.0000, 0.5000, 0.0000], [0.5000, 0.0000, 0.0000], [0.5000, 0.5000, 0.5000]],
  "spacegroup": "No. 221",
  "dft_energy_ev_per_atom": -2.689,
  "vol_a3_per_cell": 111.56
}



No. 2
{
  "formula": "AlAgP",
  "functional": "PBE",
  "state": "relaxed",
  "cell": [[6.0662, 0.0000, 0.0000], [0.0000, 6.0662, 0.0000], [0.0000, 0.0000, 6.0662]],
  "species": ["Al", "Al", "Al", "Al", "Ag", "Ag", "Ag", "Ag", "P", "P", "P", "P"],
  "frac_coords": [[0.0000, 0.0000, 0.0000], [0.0000, 0.5000, 0.5000], [0.5000, 0.0000, 0.5000], [0.5000, 0.5000, 0.0000], [0.2500, 0.2500, 0.7500], [0.2500, 0.7500, 0.2500], [0.7500, 0.2500, 0.2500], [0.7500, 0.7500, 0.7500], [0.2500, 0.2500, 0.2500], [0.2500, 0.7500, 0.7500], [0.7500, 0.2500, 0.7500], [0.7500, 0.7500, 0.2500]],
  "spacegroup": "No. 216",
  "dft_energy_ev_per_atom": -3.875,
  "vol_a3_per_cell": 223.22
}



No. 3
{
  "formula": "Al2AgP",
  "functional": "PBE",
  "state": "relaxed",
  "cell": [[6.2833, 0.0000, 0.0000], [0.0000, 6.2833, 0.0000], [0.0000, 0.0000, 8.7735]],
  "species": ["Al", "Al", "Al", "Al", "Al", "Al", "Al", "Al", "Ag", "Ag", "Ag", "Ag", "P", "P", "P", "P"],
  "frac_coords": [[0.2214, 0.2500, 0.1250], [0.2500, 0.7214, 0.3750], [0.2500, 0.7786, 0.8750], [0.2786, 0.2500, 0.6250], [0.7214, 0.7500, 0.6250], [0.7500, 0.2214, 0.8750], [0.7500, 0.2786, 0.3750], [0.7786, 0.7500, 0.1250], [0.0000, 0.0000, 0.5000], [0.0000, 0.5000, 0.7500], [0.5000, 0.0000, 0.2500], [0.5000, 0.5000, 0.0000], [0.0000, 0.0000, 0.0000], [0.0000, 0.5000, 0.2500], [0.5000, 0.0000, 0.7500], [0.5000, 0.5000, 0.5000]],
  "spacegroup": "No. 122",
  "dft_energy_ev_per_atom": -3.894,
  "vol_a3_per_cell": 346.38
}



No. 4
{
  "formula": "Al2AgP",
  "functional": "PBE",
  "state": "relaxed",
  "cell": [[2.9346, 0.0000, 0.0000], [0.0000, 2.9346, 0.0000], [0.0000, 0.0000, 7.7138]],
  "species": ["Al", "Al", "Ag", "P"],
  "frac_coords": [[0.0000, 0.0000, 0.0000], [0.5000, 0.5000, 0.2575], [0.5000, 0.5000, 0.7469], [0.0000, 0.0000, 0.4650]],
  "spacegroup": "No. 99",
  "dft_energy_ev_per_atom": -3.793,
  "vol_a3_per_cell": 66.43
}



No. 5
{
  "formula": "AlAgP4",
  "functional": "PBE",
  "state": "relaxed",
  "cell": [[0.0000, 3.6652, 3.6652], [3.6652, 0.0000, 3.6652], [3.6652, 3.6652, 0.0000]],
  "species": ["Al", "Ag", "P", "P", "P", "P"],
  "frac_coords": [[0.0000, 0.0000, 0.0000], [0.2500, 0.2500, 0.2500], [0.1161, 0.6280, 0.6280], [0.6280, 0.1161, 0.6280], [0.6280, 0.6280, 0.1161], [0.6280, 0.6280, 0.6280]],
  "spacegroup": "No. 216",
  "dft_energy_ev_per_atom": -4.136,
  "vol_a3_per_cell": 98.47
}



No. 6
{
  "formula": "Al2AgP",
  "functional": "PBE",
  "state": "relaxed",
  "cell": [[6.4744, 0.0000, 0.0000], [0.0000, 7.3930, 0.0000], [0.0000, 0.0000, 2.7573]],
  "species": ["Al", "Al", "Al", "Al", "Ag", "Ag", "P", "P"],
  "frac_coords": [[0.2500, 0.2500, 0.0000], [0.2500, 0.7500, 0.0000], [0.7500, 0.2500, 0.0000], [0.7500, 0.7500, 0.0000], [0.0000, 0.0000, 0.5000], [0.5000, 0.5000, 0.5000], [0.0000, 0.5000, 0.5000], [0.5000, 0.0000, 0.5000]],
  "spacegroup": "No. 65",
  "dft_energy_ev_per_atom": -3.825,
  "vol_a3_per_cell": 131.98
}



No. 7
{
  "formula": "AlAgP",
  "functional": "PBE",
  "state": "relaxed",
  "cell": [[11.4260, 0.0000, 0.0000], [0.0000, 3.7348, 0.0000], [-2.1940, 0.0000, 5.4229]],
  "species": ["Al", "Al", "Al", "Al", "Ag", "Ag", "Ag", "Ag", "P", "P", "P", "P"],
  "frac_coords": [[0.1334, 0.0000, 0.4329], [0.3666, 0.5000, 0.5671], [0.6334, 0.5000, 0.4329], [0.8666, 0.0000, 0.5671], [0.0683, 0.5000, 0.7511], [0.4317, 0.0000, 0.2489], [0.5683, 0.0000, 0.7511], [0.9317, 0.5000, 0.2489], [0.1699, 0.5000, 0.2097], [0.3301, 0.0000, 0.7903], [0.6699, 0.0000, 0.2097], [0.8301, 0.5000, 0.7903]],
  "spacegroup": "No. 12",
  "dft_energy_ev_per_atom": -4.049,
  "vol_a3_per_cell": 231.41
}



No. 8
{
  "formula": "Al2AgP",
  "functional": "PBE",
  "state": "relaxed",
  "cell": [[12.2939, 0.0000, 0.0000], [0.0000, 3.4978, 0.0000], [-0.9908, 0.0000, 3.3546]],
  "species": ["Al", "Al", "Al", "Al", "Ag", "Ag", "P", "P"],
  "frac_coords": [[0.0000, 0.0000, 0.0000], [0.1587, 0.5000, 0.6570], [0.5000, 0.5000, 0.0000], [0.6587, 0.0000, 0.6570], [0.2362, 0.0000, 0.2341], [0.7362, 0.5000, 0.2341], [0.4544, 0.0000, 0.4547], [0.9544, 0.5000, 0.4547]],
  "spacegroup": "No. 8",
  "dft_energy_ev_per_atom": -4.058,
  "vol_a3_per_cell": 144.25
}



No. 9
{
  "formula": "Al2AgP",
  "functional": "PBE",
  "state": "relaxed",
  "cell": [[3.5401, 0.0000, 0.0000], [0.0000, 4.8704, 0.0000], [0.0000, 0.0000, 7.8951]],
  "species": ["Al", "Al", "Al", "Al", "Ag", "Ag", "P", "P"],
  "frac_coords": [[0.0000, 0.0000, 0.2251], [0.0000, 0.0000, 0.7749], [0.5000, 0.5000, 0.2749], [0.5000, 0.5000, 0.7251], [0.0000, 0.5000, 0.0000], [0.5000, 0.0000, 0.5000], [0.0000, 0.5000, 0.5000], [0.5000, 0.0000, 0.0000]],
  "spacegroup": "No. 71",
  "dft_energy_ev_per_atom": -3.805,
  "vol_a3_per_cell": 136.12
}



No. 10
{
  "formula": "Al2AgP",
  "functional": "PBE",
  "state": "relaxed",
  "cell": [[3.3444, 0.0000, 0.0000], [-1.6722, 2.8963, 0.0000], [0.0000, 0.0000, 22.3810]],
  "species": ["Al", "Al", "Al", "Al", "Al", "Al", "Ag", "Ag", "Ag", "P", "P", "P"],
  "frac_coords": [[0.0000, 0.0000, 0.0000], [0.0000, 0.0000, 0.2381], [0.3333, 0.6667, 0.6667], [0.3333, 0.6667, 0.9048], [0.6667, 0.3333, 0.3333], [0.6667, 0.3333, 0.5715], [0.0000, 0.0000, 0.4849], [0.3333, 0.6667, 0.1516], [0.6667, 0.3333, 0.8183], [0.0000, 0.0000, 0.7289], [0.3333, 0.6667, 0.3955], [0.6667, 0.3333, 0.0622]],
  "spacegroup": "No. 160",
  "dft_energy_ev_per_atom": -3.863,
  "vol_a3_per_cell": 216.79
}



No. 11
{
  "formula": "Al2AgP",
  "functional": "PBE",
  "state": "relaxed",
  "cell": [[6.5524, 0.0000, 0.0000], [0.0000, 6.5524, 0.0000], [0.0000, 0.0000, 6.5524]],
  "species": ["Al", "Al", "Al", "Al", "Al", "Al", "Al", "Al", "Ag", "Ag", "Ag", "Ag", "P", "P", "P", "P"],
  "frac_coords": [[0.0000, 0.0000, 0.0000], [0.0000, 0.5000, 0.5000], [0.2500, 0.2500, 0.2500], [0.2500, 0.7500, 0.7500], [0.5000, 0.0000, 0.5000], [0.5000, 0.5000, 0.0000], [0.7500, 0.2500, 0.7500], [0.7500, 0.7500, 0.2500], [0.2500, 0.2500, 0.7500], [0.2500, 0.7500, 0.2500], [0.7500, 0.2500, 0.2500], [0.7500, 0.7500, 0.7500], [0.0000, 0.0000, 0.5000], [0.0000, 0.5000, 0.0000], [0.5000, 0.0000, 0.0000], [0.5000, 0.5000, 0.5000]],
  "spacegroup": "No. 216",
  "dft_energy_ev_per_atom": -3.638,
  "vol_a3_per_cell": 281.32
}



No. 12
{
  "formula": "Al2AgP",
  "functional": "PBE",
  "state": "relaxed",
  "cell": [[3.5234, 0.0000, 0.0000], [0.0000, 4.0734, 0.0000], [0.0000, 0.0000, 4.7254]],
  "species": ["Al", "Al", "Ag", "P"],
  "frac_coords": [[0.0000, 0.0000, 0.0000], [0.0000, 0.5000, 0.5000], [0.5000, 0.0000, 0.5000], [0.5000, 0.5000, 0.0000]],
  "spacegroup": "No. 47",
  "dft_energy_ev_per_atom": -3.768,
  "vol_a3_per_cell": 67.82
}